The following is a PBE calculation of a geometry-optimized Ce5CoHg4 structure, from the Alexandria database.

Cell lengths 9.863, 9.863, 5.740 Å; angles 90.00, 90.00, 90.00 degrees
Space group I4/m (No. 87)
Unique sites:
Ce: 0.000 0.000 0.000 [2 per cell]
Ce: 0.122 0.769 0.500 [8 per cell]
Co: 0.000 0.000 0.500 [2 per cell]
Hg: 0.055 0.649 0.000 [8 per cell]

Crystal system = tetragonal
Energy of formation from the pure elements = -173 meV/atom



The following is a PBE calculation of a geometry-optimized Tb3Ag structure, from the Alexandria database.

Cell lengths 4.795, 4.795, 4.795 Å; angles 90.00, 90.00, 90.00 degrees
Space group Pm-3m (No. 221)
Unique sites:
Tb: 0.000 0.000 0.500 [3 per cell]
Ag: 0.500 0.500 0.500 [1 per cell]

Relative energy among the computed polymorphs = 124 meV/atom
Crystal system = cubic
Energy of formation from the pure elements = 16 meV/atom



The following is a PBE calculation of a geometry-optimized BeSe2I structure, from the Alexandria database.

Cell lengths 3.6972, 3.6972, 23.9488 Å; angles 90.00, 90.00, 120.00 degrees
Space group R-3m (No. 166, hexagonal axes)
Unique sites:
Be: 0.0000 0.0000 0.0000 [3 per cell]
Se: 0.0000 0.0000 0.3846 [6 per cell]
I: 0.0000 0.0000 0.5000 [3 per cell]

Relative energy among the computed polymorphs = 0 meV/atom
Formation energy without anion corrections = -0.054 eV/atom
Crystal system = trigonal



The following is a PBE calculation of a geometry-optimized Ho6Co2Hg structure, from the Alexandria database.

Cell lengths 9.293, 9.559, 9.908 Å; angles 90.00, 90.00, 90.00 degrees
Space group Immm (No. 71)
Unique sites:
Ho: 0.000 0.209 0.227 [8 per cell]
Ho: 0.198 0.500 0.183 [8 per cell]
Ho: 0.209 0.313 0.500 [8 per cell]
Co: 0.000 0.379 0.000 [4 per cell]
Co: 0.000 0.500 0.387 [4 per cell]
Hg: 0.000 0.000 0.000 [2 per cell]
Hg: 0.000 0.000 0.500 [2 per cell]

Crystal system = orthorhombic
Energy of formation from the pure elements = -263 meV/atom